# 1
## CaAcEuSn (PBE-GGA)

Data for crystalline CaAcEuSn at its relaxed geometry.

The structure in POSCAR format:
```
CaAcEuSn
1.0
0.000 4.081 4.081
4.081 0.000 4.081
4.081 4.081 0.000
Ca Ac Eu Sn
1 1 1 1
Direct
0.000 0.000 0.000
0.750 0.750 0.750
0.500 0.500 0.500
0.250 0.250 0.250
```

Properties
D(E_F) = 5.7 states/eV/f.u.
Calculated total energy = -5.25 eV/atom
DFT formation energy = -150 meV per atom



# 2
## SrCaAcEu (PBE-GGA)

Data for crystalline SrCaAcEu at its relaxed geometry.

The structure in POSCAR format:
```
SrCaAcEu
1.0
0.000 4.492 4.492
4.492 0.000 4.492
4.492 4.492 0.000
Sr Ca Ac Eu
1 1 1 1
Direct
0.000 0.000 0.000
0.750 0.750 0.750
0.500 0.500 0.500
0.250 0.250 0.250
```

Properties
D(E_F) = 12.1 states/eV/f.u.
Calculated total energy = -4.46 eV/atom
DFT formation energy = 61 meV per atom



# 3
## CaAcEuTm (PBE-GGA)

Data for crystalline CaAcEuTm at its relaxed geometry.

The structure in POSCAR format:
```
CaAcEuTm
1.0
0.000 4.277 4.277
4.277 0.000 4.277
4.277 4.277 0.000
Ca Ac Eu Tm
1 1 1 1
Direct
0.000 0.000 0.000
0.250 0.250 0.250
0.750 0.750 0.750
0.500 0.500 0.500
```

Properties
D(E_F) = 5.4 states/eV/f.u.
Calculated total energy = -5.10 eV/atom
DFT formation energy = 115 meV per atom



# 4
## Ca2AcF (PBE-GGA)

Data for crystalline Ca2AcF at its relaxed geometry.

The structure in POSCAR format:
```
Ca2AcF
1.0
1.874 1.082 10.316
-1.874 1.082 10.316
0.000 -2.164 10.316
Ca Ac F
2 1 1
Direct
0.117 0.117 0.117
0.883 0.883 0.883
0.000 0.000 0.000
0.500 0.500 0.500
```

Properties
D(E_F) = 2.8 states/eV/f.u.
Raw formation energy = -1068.9 meV per atom
ΔE to the lowest computed polymorph = 0 kJ/mol of formula units
Calculated total energy = -3.56 eV/atom



# 5
## CaAcF5 (PBE-GGA)

Data for crystalline CaAcF5 at its relaxed geometry.

The structure in POSCAR format:
```
CaAcF5
1.0
3.496 -3.593 0.000
3.496 3.593 0.000
-0.687 0.000 8.444
Ca Ac F
2 2 10
Direct
0.000 0.000 0.000
0.000 0.000 0.500
0.493 0.507 0.750
0.507 0.493 0.250
0.045 0.631 0.337
0.140 0.860 0.750
0.243 0.400 0.990
0.369 0.955 0.163
0.400 0.243 0.490
0.600 0.757 0.510
0.631 0.045 0.837
0.757 0.600 0.010
0.860 0.140 0.250
0.955 0.369 0.663
```

Properties
D(E_F) = 0.0 states/eV/f.u.
Raw formation energy = -4013.1 meV per atom
Calculated total energy = -6.22 eV/atom



# 6
## Ca3AcF8 (PBE-GGA)

Data for crystalline Ca3AcF8 at its relaxed geometry.

The structure in POSCAR format:
```
Ca3AcF8
1.0
5.711 0.000 0.000
0.000 5.711 0.000
0.000 0.000 5.711
Ca Ac F
3 1 8
Direct
0.000 0.000 0.500
0.000 0.500 0.000
0.500 0.000 0.000
0.500 0.500 0.500
0.241 0.241 0.241
0.241 0.241 0.759
0.241 0.759 0.241
0.241 0.759 0.759
0.759 0.241 0.241
0.759 0.241 0.759
0.759 0.759 0.241
0.759 0.759 0.759
```

Properties
D(E_F) = 3.3 states/eV/f.u.
Raw formation energy = -3766.6 meV per atom
Calculated total energy = -5.86 eV/atom



# 7
## CaAcF2 (PBE-GGA)

Data for crystalline CaAcF2 at its relaxed geometry.

The structure in POSCAR format:
```
CaAcF2
1.0
1.936 1.118 6.924
-1.936 1.118 6.924
0.000 -2.235 6.924
Ca Ac F
1 1 2
Direct
0.000 0.000 0.000
0.500 0.500 0.500
0.373 0.373 0.373
0.627 0.627 0.627
```

Properties
D(E_F) = 3.0 states/eV/f.u.
Raw formation energy = -2735.3 meV per atom
Calculated total energy = -5.20 eV/atom



# 8
## Ca2AcF (PBE-GGA)

Data for crystalline Ca2AcF at its relaxed geometry.

The structure in POSCAR format:
```
Ca2AcF
1.0
3.586 0.000 0.000
0.000 3.586 0.000
0.000 0.000 9.582
Ca Ac F
2 1 1
Direct
0.000 0.000 0.191
0.000 0.000 0.809
0.500 0.500 0.500
0.500 0.500 0.000
```

Properties
D(E_F) = 4.0 states/eV/f.u.
Raw formation energy = -957.7 meV per atom
ΔE to the lowest computed polymorph = 43 kJ/mol of formula units
Calculated total energy = -3.45 eV/atom



# 9
## Ca2AcF8 (PBE-GGA)

Data for crystalline Ca2AcF8 at its relaxed geometry.

The structure in POSCAR format:
```
Ca2AcF8
1.0
-2.029 3.012 6.080
2.029 -3.012 6.080
2.029 3.012 -6.080
Ca Ac F
2 1 8
Direct
0.187 0.187 0.000
0.813 0.813 0.000
0.500 0.500 0.000
0.059 0.333 0.727
0.172 0.000 0.172
0.376 0.876 0.500
0.394 0.667 0.727
0.606 0.333 0.273
0.624 0.124 0.500
0.828 0.000 0.828
0.941 0.667 0.273
```

Properties
D(E_F) = 0.2 states/eV/f.u.
Raw formation energy = -3592.0 meV per atom
Calculated total energy = -5.69 eV/atom



# 10
## CaAcF4 (PBE-GGA)

Data for crystalline CaAcF4 at its relaxed geometry.

The structure in POSCAR format:
```
CaAcF4
1.0
3.949 0.000 0.000
0.000 3.949 0.000
0.000 0.000 6.250
Ca Ac F
1 1 4
Direct
0.000 0.000 0.000
0.500 0.500 0.500
0.000 0.500 0.216
0.000 0.500 0.784
0.500 0.000 0.216
0.500 0.000 0.784
```

Properties
D(E_F) = 0.2 states/eV/f.u.
Raw formation energy = -3715.6 meV per atom
Calculated total energy = -5.98 eV/atom



# 11
## K2CaAcF8 (PBE-GGA)

Data for crystalline K2CaAcF8 at its relaxed geometry.

The structure in POSCAR format:
```
K2CaAcF8
1.0
4.353 0.000 0.000
0.000 6.174 0.000
0.000 0.000 7.945
K Ca Ac F
2 1 1 8
Direct
0.000 0.000 0.247
0.000 0.000 0.753
0.500 0.500 0.000
0.500 0.500 0.500
0.000 0.280 0.500
0.000 0.335 0.000
0.000 0.665 0.000
0.000 0.720 0.500
0.500 0.274 0.236
0.500 0.274 0.764
0.500 0.726 0.236
0.500 0.726 0.764
```

Properties
D(E_F) = 5.9 states/eV/f.u.
Raw formation energy = -3305.0 meV per atom
Calculated total energy = -5.24 eV/atom



# 12
## LiCa2AcF8 (PBE-GGA)

Data for crystalline LiCa2AcF8 at its relaxed geometry.

The structure in POSCAR format:
```
LiCa2AcF8
1.0
4.073 0.000 0.000
0.001 5.642 0.000
0.002 0.721 7.899
Li Ca Ac F
1 2 1 8
Direct
0.000 0.000 0.000
0.499 0.451 0.782
0.501 0.549 0.218
0.000 0.000 0.500
0.001 0.170 0.781
0.001 0.356 0.293
0.498 0.746 0.961
0.500 0.247 0.532
0.500 0.753 0.468
0.502 0.254 0.039
0.999 0.644 0.707
0.999 0.830 0.219
```

Properties
D(E_F) = 0.0 states/eV/f.u.
Raw formation energy = -3784.1 meV per atom
Calculated total energy = -5.87 eV/atom